PrErPb, optimized geometry, DFT PBE; formation energy from the elements = -244 meV per atom; calculated total energy = -0.1689 hartree per atom; energy above the most stable polymorph in this dataset = 0.196 eV/atom
1.0
5.1934 0.0000 0.0000
-2.5967 4.4976 0.0000
0.0000 0.0000 4.1541
Pr Er Pb
1 1 1
direct
0.0000 0.0000 0.0000
0.3333 0.6667 0.4986
0.6667 0.3333 0.5042